6
Lattice="0.000 3.592 3.592 3.592 0.000 3.592 3.592 3.592 0.000" Properties=species:S:1:pos:R:3 comment="Os5Rh PBE-GGA relaxed" polymorph_energy_ev_per_atom=0.829 e_tot_ev_per_cell=-58.5 magmom_total_mub_per_fu=0.00 pbc="T T T"
Os 2.691 4.492 4.492
Os 5.388 5.388 5.388
Os 4.492 2.691 4.492
Os 2.691 2.691 2.691
Os 4.492 4.492 2.691
Rh 0.000 0.000 0.000


6
Lattice="-3.669 3.138 1.799 -3.716 0.947 3.441 10.415 -0.700 -0.635" Properties=species:S:1:pos:R:3 comment="OsRh PBE-GGA relaxed" e_tot_ev_per_cell=-55.5 magmom_total_mub_per_fu=0.00 pbc="T T T"
Os -7.334 4.071 5.223
Os 6.680 -0.040 0.138
Os -1.490 2.491 3.282
Rh 4.465 0.907 1.338
Rh 0.800 1.542 2.081
Rh -5.175 3.130 4.029


2
Lattice="0.000 2.550 2.550 2.550 0.000 2.550 2.550 2.550 0.000" Properties=species:S:1:pos:R:3 comment="OsRh PBE-GGA relaxed" e_tot_ev_per_cell=-15.9 magmom_total_mub_per_fu=0.23 pbc="T T T"
Os 0.000 0.000 0.000
Rh 2.550 2.550 2.550


6
Lattice="-2.300 3.093 3.242 -1.496 -4.793 -0.401 2.922 -1.179 3.198" Properties=species:S:1:pos:R:3 comment="Os5Rh PBE-GGA relaxed" polymorph_energy_ev_per_atom=0.973 e_tot_ev_per_cell=-57.6 magmom_total_mub_per_fu=2.29 pbc="T T T"
Os 0.713 -2.986 1.399
Os -1.764 -2.164 0.813
Os 0.311 0.957 3.220
Os -0.437 -1.439 3.020
Os -2.032 0.464 2.028
Rh 0.000 0.000 0.000


4
Lattice="-2.345 -0.631 -1.263 2.243 -1.549 -3.390 0.073 -4.323 2.024" Properties=species:S:1:pos:R:3 comment="OsRh PBE-GGA relaxed" e_tot_ev_per_cell=-36.8 magmom_total_mub_per_fu=0.00 pbc="T T T"
Rh -1.135 -2.500 0.391
Rh 0.010 -4.669 -0.651
Os 0.001 -0.031 0.014
Os 1.145 -2.185 -1.035


6
Lattice="5.160 0.000 0.000 4.430 2.645 0.000 -8.083 -2.229 6.264" Properties=species:S:1:pos:R:3 comment="Os2Rh PBE-GGA relaxed" polymorph_energy_ev_per_atom=0.038 e_tot_ev_per_cell=-59.3 magmom_total_mub_per_fu=0.00 pbc="T T T"
Os 1.477 0.407 6.257
Os -4.770 -1.315 4.517
Os -2.171 -0.599 4.183
Os 3.707 1.022 2.093
Rh 1.114 0.307 2.460
Rh 7.014 1.934 0.327


6
Lattice="-2.974 0.836 5.194 1.743 -4.273 -3.902 3.298 -0.445 1.960" Properties=species:S:1:pos:R:3 comment="Os2Rh PBE-GGA relaxed" polymorph_energy_ev_per_atom=0.090 e_tot_ev_per_cell=-59.0 magmom_total_mub_per_fu=0.00 pbc="T T T"
Os -0.203 -1.383 1.931
Os 2.270 -2.499 1.321
Os 1.397 -3.117 -1.156
Os 0.669 -0.765 4.408
Rh -1.754 0.297 4.922
Rh 3.821 -4.178 -1.670


8
Lattice="4.727 0.000 -0.001 0.000 2.708 0.000 -1.539 0.000 8.901" Properties=species:S:1:pos:R:3 comment="OsRh PBE-GGA relaxed" e_tot_ev_per_cell=-73.7 magmom_total_mub_per_fu=0.00 pbc="T T T"
Os -0.787 0.000 7.772
Os 3.975 0.000 1.128
Os -0.018 1.354 3.321
Os 3.206 1.354 5.579
Rh 2.384 0.000 3.366
Rh 0.804 0.000 5.534
Rh 1.615 1.354 7.817
Rh 1.573 1.354 1.083


6
Lattice="1.222 -4.282 2.164 -0.021 4.190 2.637 -4.713 -0.614 -1.384" Properties=species:S:1:pos:R:3 comment="Os2Rh PBE-GGA relaxed" polymorph_energy_ev_per_atom=0.607 e_tot_ev_per_cell=-55.9 magmom_total_mub_per_fu=0.00 pbc="T T T"
Os -1.918 -1.275 0.455
Os -0.006 -2.311 2.509
Os -3.506 1.605 0.908
Os -1.594 0.569 2.961
Rh 0.300 -0.023 1.200
Rh 0.901 -0.069 3.601


6
Lattice="2.726 0.000 0.000 -1.363 4.608 -1.742 0.000 -0.700 7.172" Properties=species:S:1:pos:R:3 comment="OsRh5 PBE-GGA relaxed" polymorph_energy_ev_per_atom=0.081 e_tot_ev_per_cell=-47.4 magmom_total_mub_per_fu=0.00 pbc="T T T"
Os 0.000 2.552 -0.587
Rh 1.363 4.556 -1.719
Rh 0.000 2.151 3.886
Rh 1.363 1.728 1.587
Rh 1.363 0.112 5.024
Rh 1.363 4.282 0.961


3
Lattice="-2.224 -1.363 -0.791 1.908 -1.345 -3.043 1.367 -1.890 4.109" Properties=species:S:1:pos:R:3 comment="Os2Rh PBE-GGA relaxed" polymorph_energy_ev_per_atom=0.082 e_tot_ev_per_cell=-29.5 magmom_total_mub_per_fu=0.00 pbc="T T T"
Os 0.257 -2.467 -1.166
Os 0.794 -2.131 1.440
Rh 0.000 0.000 0.000


4
Lattice="-0.742 -3.049 8.418 -1.725 -5.232 7.097 0.973 -4.942 7.440" Properties=species:S:1:pos:R:3 comment="OsRh PBE-GGA relaxed" e_tot_ev_per_cell=-36.7 magmom_total_mub_per_fu=0.00 pbc="T T T"
Rh -0.749 -6.629 11.507
Rh -1.119 -9.901 17.187
Os -1.493 -13.212 22.936
Os -0.375 -3.317 5.758